(1)
PRhBr2 | PBE | optimized geometry

Properties
As for the energy above the most stable polymorph in this dataset: 1113 meV/atom. The space-group type is R-3m (166). Its formation energy without anion corrections is 0.605 eV/atom.

Cell lengths 8.230, 8.230, 8.230 Å; angles 24.75, 24.75, 24.75 degrees
Element x y z (fractional)
Rh1 0.750 0.750 0.750
P1 0.250 0.250 0.250
Br1 0.019 0.019 0.019
Br2 0.481 0.481 0.481



(2)
Ba3Ga5Cu6 | PBE | optimized geometry

Properties
As for the formation energy: -195.5 meV/atom. The space-group type is Immm (71).

Cell lengths 4.255, 8.664, 8.664 Å; angles 80.01, 75.79, 75.79 degrees
Element x y z (fractional)
Cu1 0.108 0.595 0.189
Cu2 0.500 0.330 0.670
Cu3 0.500 0.670 0.330
Cu4 0.108 0.189 0.595
Cu5 0.892 0.811 0.405
Cu6 0.892 0.405 0.811
Ga1 0.331 0.971 0.367
Ga2 0.669 0.029 0.633
Ga3 0.669 0.633 0.029
Ga4 0.000 0.500 0.500
Ga5 0.331 0.367 0.971
Ba1 0.718 0.282 0.282
Ba2 0.000 0.000 0.000
Ba3 0.282 0.718 0.718



(3)
LaReMo2C | PBE | optimized geometry

Properties
As for the formation energy: 2230.0 meV/atom. The space-group type is P4/mmm (123).

Cell lengths 4.681, 5.799, 4.681 Å; angles 90.00, 90.00, 90.00 degrees
Each line ends with the local moment (μB).
Element x y z (fractional)
Mo1 0.000 0.000 0.500  -0.67
Mo2 0.500 0.000 0.000  -0.99
Re1 0.000 0.000 0.000  0.16
C1 0.500 0.500 0.500  0.39
La1 0.000 0.500 0.000  -0.02



(4)
NaAlSb2I | PBE | optimized geometry

Properties
As for the energy above the most stable polymorph in this dataset: 614 meV/atom. The space-group type is P4/mmm (123). Its formation energy without anion corrections is 0.703 eV/atom.

Cell lengths 5.478, 5.478, 5.979 Å; angles 90.00, 90.00, 90.00 degrees
Element x y z (fractional)
Na1 0.000 0.000 0.000
Al1 0.500 0.500 0.500
Sb1 0.500 0.000 0.000
Sb2 0.000 0.500 0.000
I1 0.000 0.000 0.500



(5)
RbPb3Se3 | PBE | optimized geometry

Properties
As for the energy above the most stable polymorph in this dataset: 105 meV/atom. The space-group type is Pm-3n (223). Its formation energy without anion corrections is -0.371 eV/atom.

Cell lengths 8.425, 8.425, 8.425 Å; angles 90.00, 90.00, 90.00 degrees
Element x y z (fractional)
Rb1 0.000 0.000 0.000
Rb2 0.500 0.500 0.500
Se1 0.500 0.000 0.250
Se2 0.500 0.000 0.750
Se3 0.000 0.250 0.500
Se4 0.000 0.750 0.500
Se5 0.250 0.500 0.000
Se6 0.750 0.500 0.000
Pb1 0.000 0.500 0.250
Pb2 0.500 0.750 0.000
Pb3 0.750 0.000 0.500
Pb4 0.500 0.250 0.000
Pb5 0.250 0.000 0.500
Pb6 0.000 0.500 0.750



(6)
Ca2AcLaTl4 | PBE | optimized geometry

Properties
As for the formation energy: -422.7 meV/atom. The space-group type is R-3m (166).

Cell lengths 5.630, 5.630, 9.787 Å; angles 73.28, 73.28, 60.00 degrees
Element x y z (fractional)
Tl1 0.874 0.874 0.379
Tl2 0.378 0.378 0.867
Tl3 0.622 0.622 0.133
Tl4 0.126 0.126 0.621
Ac1 0.000 0.000 0.000
Ca1 0.249 0.249 0.252
Ca2 0.751 0.751 0.748
La1 0.500 0.500 0.500



| no. | total magnetization (μB/f.u.) |
| --- | --- |
| 1 | 0.000 |
| 2 | 0.000 |
| 3 | 1.057 |
| 4 | 0.000 |
| 5 | 0.000 |
| 6 | 0.000 |